Record 1
Below is a relaxed structure of ScNi3Sb, with properties calculated at the PBE level.

abc: 4.5985 4.5985 4.5985
angles: 90.00 90.00 90.00
Closest atoms and distances in Å follow each position.
Sites, in units of the cell vectors:
Sc 0.5000 0.5000 0.5000  12 Ni 3.25
Sb 0.0000 0.0000 0.0000  6 Ni 2.30
Ni 0.0000 0.5000 0.0000  2 Sb 2.30
Ni 0.0000 0.0000 0.5000  2 Sb 2.30
Ni 0.5000 0.0000 0.0000  2 Sb 2.30

## Properties
DOS at the Fermi energy in states/eV per atom: 0.63
SG: Pm-3m, No. 221
E_tot in eV per atom: -5.18
Distance to the lowest polymorph of the same formula in meV per atom: 0
ΔE_f (raw) in meV/atom: 378.4

Record 2
Below is a relaxed structure of Dy5In2Sb2, with properties calculated at the PBE level.

abc: 8.1090 8.1221 8.8070
angles: 117.46 90.00 90.00
Closest atoms and distances in Å follow each position.
Sites, in units of the cell vectors:
Dy 0.0000 0.0000 0.0000  2 Sb 3.17, 4 In 3.19
Dy 0.5000 0.5000 0.0000  2 Sb 3.17, 4 In 3.19
Dy 0.8335 0.8086 0.2761  3 Sb 3.15-3.20, 3 In 3.18-3.26
Dy 0.1665 0.4674 0.2761  3 Sb 3.15-3.20, 3 In 3.18-3.26
Dy 0.3335 0.9674 0.2761  3 Sb 3.15-3.20, 3 In 3.18-3.26
Dy 0.6665 0.3086 0.2761  3 Sb 3.15-3.20, 3 In 3.18-3.26
Dy 0.1665 0.1914 0.7239  3 Sb 3.15-3.20, 3 In 3.18-3.26
Dy 0.8335 0.5326 0.7239  3 Sb 3.15-3.20, 3 In 3.18-3.26
Dy 0.6665 0.0326 0.7239  3 Sb 3.15-3.20, 3 In 3.18-3.26
Dy 0.3335 0.6914 0.7239  3 Sb 3.15-3.20, 3 In 3.18-3.26
In 0.6277 0.8714 0.0000  1 In 2.94, 8 Dy 3.18-3.26
In 0.3723 0.1286 0.0000  1 In 2.94, 8 Dy 3.18-3.26
In 0.1277 0.6286 0.0000  1 In 2.94, 8 Dy 3.18-3.26
In 0.8723 0.3714 0.0000  1 In 2.94, 8 Dy 3.18-3.26
Sb 0.0000 0.2031 0.4062  7 Dy 3.15-3.20
Sb 0.5000 0.7031 0.4062  7 Dy 3.15-3.20
Sb 0.0000 0.7969 0.5938  7 Dy 3.15-3.20
Sb 0.5000 0.2969 0.5938  7 Dy 3.15-3.20

## Properties
DOS at the Fermi energy in states/eV per atom: 0.74
SG: Cmce, No. 64
E_tot in eV per atom: -4.83
Distance to the lowest polymorph of the same formula in meV per atom: 0
ΔE_f (raw) in meV/atom: -751.2

Record 3
Below is a relaxed structure of BeBiHPbN, with properties calculated at the PBE level.

abc: 3.3766 4.8992 6.4235
angles: 108.52 90.99 107.47
Closest atoms and distances in Å follow each position.
Sites, in units of the cell vectors:
Be 0.7229 0.8219 0.2604  1 H 1.50, 1 N 1.57
Bi 0.1036 0.3961 0.4857  2 N 2.29-2.33
H 0.4141 0.8466 0.1021  1 Be 1.50
Pb 0.4975 0.1318 0.9108  1 H 2.10
N 0.6475 0.4958 0.2746  1 Be 1.57

## Properties
DOS at the Fermi energy in states/eV per atom: 0.22
SG: P1, No. 1
E_tot in eV per atom: -4.30
Distance to the lowest polymorph of the same formula in meV per atom: 406

Record 4
Below is a relaxed structure of Y2Si4PtRh3, with properties calculated at the PBE level.

abc: 4.0956 4.0956 10.0154
angles: 90.00 90.00 90.00
Closest atoms and distances in Å follow each position.
Sites, in units of the cell vectors:
Y 0.5000 0.0000 0.2412  6 Rh 3.11-3.30, 8 Si 3.14-3.17, 2 Pt 3.30
Y 0.0000 0.5000 0.7588  6 Rh 3.11-3.30, 8 Si 3.14-3.17, 2 Pt 3.30
Si 0.5000 0.5000 0.0000  4 Rh 2.41
Si 0.0000 0.0000 0.0000  4 Rh 2.41
Si 0.5000 0.0000 0.6377  3 Rh 2.36-2.47, 2 Pt 2.47
Si 0.0000 0.5000 0.3623  3 Rh 2.36-2.47, 2 Pt 2.47
Pt 0.5000 0.5000 0.5000  4 Si 2.47
Rh 0.0000 0.0000 0.5000  4 Si 2.47
Rh 0.5000 0.0000 0.8731  5 Si 2.36-2.41
Rh 0.0000 0.5000 0.1269  5 Si 2.36-2.41

## Properties
DOS at the Fermi energy in states/eV per atom: 0.48
SG: P-4m2, No. 115
E_tot in eV per atom: -7.34
ΔE_f (raw) in meV/atom: -1066.0

Record 5
Below is a relaxed structure of NdMg2BeAu4, with properties calculated at the PBE level.

abc: 4.5329 4.5329 9.0449
angles: 75.49 75.49 60.00
Closest atoms and distances in Å follow each position.
Sites, in units of the cell vectors:
Nd 0.0000 0.0000 0.0000  8 Au 3.17-3.48
Mg 0.7610 0.7610 0.7171  7 Au 2.70-2.81
Mg 0.2390 0.2390 0.2829  7 Au 2.70-2.81
Be 0.5000 0.5000 0.5000  8 Au 2.54-2.75
Au 0.4023 0.4023 0.7930  1 Be 2.54, 3 Mg 2.70
Au 0.8662 0.8662 0.4015  4 Mg 2.73-2.81, 3 Be 2.75
Au 0.1338 0.1338 0.5985  4 Mg 2.73-2.81, 3 Be 2.75
Au 0.5977 0.5977 0.2070  1 Be 2.54, 3 Mg 2.70

## Properties
Calculated formation energy in meV/atom: -494
DOS at the Fermi energy in states/eV per atom: 0.47
SG: R-3m, No. 166
E_tot in eV per atom: -3.59

Record 6
Below is a relaxed structure of PaInTe3, with properties calculated at the PBE level.

abc: 7.6685 7.6685 9.0163
angles: 64.83 64.83 60.00
Closest atoms and distances in Å follow each position.
Sites, in units of the cell vectors:
Pa 0.3363 0.3363 0.9910  6 Te 3.00-3.04
Pa 0.6637 0.6637 0.0090  6 Te 3.00-3.04
In 0.1418 0.1418 0.5746  6 Te 3.42-3.48
In 0.8582 0.8582 0.4254  6 Te 3.42-3.48
Te 0.3303 0.9225 0.2487  2 Pa 3.00-3.04
Te 0.9225 0.4985 0.2487  2 Pa 3.00-3.04
Te 0.4985 0.3303 0.2487  2 Pa 3.00-3.04
Te 0.6697 0.5015 0.7513  2 Pa 3.00-3.04
Te 0.0775 0.6697 0.7513  2 Pa 3.00-3.04
Te 0.5015 0.0775 0.7513  2 Pa 3.00-3.04

## Properties
DOS at the Fermi energy in states/eV per atom: 0.26
SG: R32, No. 155
E_tot in eV per atom: -4.84
Distance to the lowest polymorph of the same formula in meV per atom: 79
ΔE_f (raw) in meV/atom: -508.4

Record 7
Below is a relaxed structure of Ce2GeIrAu, with properties calculated at the PBE level.

abc: 4.3953 7.2729 7.5633
angles: 108.85 90.00 90.00
Closest atoms and distances in Å follow each position.
Sites, in units of the cell vectors:
Ce 0.7500 0.8619 0.6424  2 Ir 2.95, 3 Au 3.14-3.26, 3 Ge 3.19-3.25
Ce 0.7500 0.7076 0.0442  3 Ir 2.88-2.89, 2 Au 3.17, 1 Ge 3.19
Ce 0.2500 0.1381 0.3576  2 Ir 2.95, 3 Au 3.14-3.26, 3 Ge 3.19-3.25
Ce 0.2500 0.2924 0.9558  3 Ir 2.88-2.89, 2 Au 3.17, 1 Ge 3.19
Ge 0.2500 0.5481 0.6827  1 Ir 2.48, 2 Au 2.74
Ge 0.7500 0.4519 0.3173  1 Ir 2.48, 2 Au 2.74
Ir 0.2500 0.8828 0.9076  1 Ge 2.48
Ir 0.7500 0.1172 0.0924  1 Ge 2.48
Au 0.2500 0.6834 0.3379  3 Ge 2.74-3.07
Au 0.7500 0.3166 0.6621  3 Ge 2.74-3.07

## Properties
Calculated formation energy in meV/atom: -679
DOS at the Fermi energy in states/eV per atom: 1.75
SG: P2_1/m, No. 11
E_tot in eV per atom: -6.40

Record 8
Below is a relaxed structure of TaPBr2, with properties calculated at the PBE level.

abc: 3.3860 3.5833 8.3869
angles: 77.72 90.00 90.00
Closest atoms and distances in Å follow each position.
Sites, in units of the cell vectors:
Br 0.0000 0.8541 0.9179  2 Ta 2.72
Br 0.5000 0.1432 0.3377  1 Ta 2.63
P 0.0000 0.5194 0.5861  4 Ta 2.54
Ta 0.5000 0.9833 0.6584  4 P 2.54, 3 Br 2.63-2.72

## Properties
DOS at the Fermi energy in states/eV per atom: 0.50
SG: Amm2, No. 38
E_tot in eV per atom: -5.57
Distance to the lowest polymorph of the same formula in meV per atom: 0
ΔE_f (raw) in meV/atom: -420.4

Copy entry 7 word for word.
Below is a relaxed structure of Ce2GeIrAu, with properties calculated at the PBE level.

abc: 4.3953 7.2729 7.5633
angles: 108.85 90.00 90.00
Closest atoms and distances in Å follow each position.
Sites, in units of the cell vectors:
Ce 0.7500 0.8619 0.6424  2 Ir 2.95, 3 Au 3.14-3.26, 3 Ge 3.19-3.25
Ce 0.7500 0.7076 0.0442  3 Ir 2.88-2.89, 2 Au 3.17, 1 Ge 3.19
Ce 0.2500 0.1381 0.3576  2 Ir 2.95, 3 Au 3.14-3.26, 3 Ge 3.19-3.25
Ce 0.2500 0.2924 0.9558  3 Ir 2.88-2.89, 2 Au 3.17, 1 Ge 3.19
Ge 0.2500 0.5481 0.6827  1 Ir 2.48, 2 Au 2.74
Ge 0.7500 0.4519 0.3173  1 Ir 2.48, 2 Au 2.74
Ir 0.2500 0.8828 0.9076  1 Ge 2.48
Ir 0.7500 0.1172 0.0924  1 Ge 2.48
Au 0.2500 0.6834 0.3379  3 Ge 2.74-3.07
Au 0.7500 0.3166 0.6621  3 Ge 2.74-3.07

## Properties
Calculated formation energy in meV/atom: -679
DOS at the Fermi energy in states/eV per atom: 1.75
SG: P2_1/m, No. 11
E_tot in eV per atom: -6.40

- The lowest E_tot belongs to which entry?
  Y2Si4PtRh3